# 1
DFT (PBE) results for an optimized crystal structure of Na2PuMgO4.

abc: 3.372 5.562 5.822
angles: 107.71 90.00 90.00
Each line ends with the local moment (μB).
Fractional positions:
O  0.500  0.764  0.795  -0.06
O  0.000  0.743  0.213  -0.07
O  0.500  0.236  0.205  -0.06
O  0.000  0.257  0.787  -0.07
Na  0.000  0.500  0.500  0.00
Na  0.500  0.000  0.500  0.00
Pu  0.500  0.500  0.000  4.21
Mg  0.000  0.000  0.000  0.00

Computed properties:
As for the uncorrected formation energy: -18.90 eV per formula unit.

---

# 2
DFT (PBE) results for an optimized crystal structure of LaCd2Br.

abc: 10.036 10.036 10.036
angles: 21.45 21.45 21.45
Fractional positions:
La  0.250  0.250  0.250
Br  0.750  0.750  0.750
Cd  0.492  0.492  0.492
Cd  0.008  0.008  0.008

Computed properties:
The energy above the most stable polymorph in this dataset comes out at 267.4 meV per atom. As for the uncorrected formation energy: -1.38 eV per formula unit.

---

# 3
DFT (PBE) results for an optimized crystal structure of K3Zr.

abc: 7.270 7.270 3.633
angles: 90.00 90.00 90.00
Each line ends with the local moment (μB).
Fractional positions:
K  0.500  0.500  0.000  0.03
K  0.500  0.000  0.500  0.00
K  0.000  0.000  0.000  0.03
Zr  0.000  0.500  0.500  1.56

Computed properties:
The energy above the most stable polymorph in this dataset comes out at 322.9 meV per atom. The calculated formation energy is 0.88 eV per atom.

---

What did the first record say?
DFT (PBE) results for an optimized crystal structure of Na2PuMgO4.

abc: 3.372 5.562 5.822
angles: 107.71 90.00 90.00
Each line ends with the local moment (μB).
Fractional positions:
O  0.500  0.764  0.795  -0.06
O  0.000  0.743  0.213  -0.07
O  0.500  0.236  0.205  -0.06
O  0.000  0.257  0.787  -0.07
Na  0.000  0.500  0.500  0.00
Na  0.500  0.000  0.500  0.00
Pu  0.500  0.500  0.000  4.21
Mg  0.000  0.000  0.000  0.00

Computed properties:
As for the uncorrected formation energy: -18.90 eV per formula unit.